# BaSiW2, optimized geometry, DFT PBE
# Crystal system: trigonal
# ρ, g/cm3: 11.20
# Offset from the most stable computed form, eV per formula unit: 2.54
# Formation energy without anion corrections, eV per atom: 1.049
# Space group: R-3m (166)
data_BaSiW2
_space_group_name_H-M_alt 'P 1'
_space_group_IT_number 1
_cell_length_a 10.4248
_cell_length_b 10.4248
_cell_length_c 10.4248
_cell_angle_alpha 16.43
_cell_angle_beta 16.43
_cell_angle_gamma 16.43
loop_
_space_group_symop_operation_xyz
'x,y,z'
loop_
_atom_site_label
_atom_site_type_symbol
_atom_site_fract_x
_atom_site_fract_y
_atom_site_fract_z
Ba1 Ba 0.0000 0.0000 0.0000
Si1 Si 0.5000 0.5000 0.5000
W1 W 0.2327 0.2327 0.2327
W2 W 0.7673 0.7673 0.7673